The following is a DFT calculation (PBE-GGA) of an optimized crystal structure of Zr2GePb.

Results
**Crystal system**: trigonal
**Calculated formation energy**: -413 meV/atom
**M_tot**: 0.000 μB per formula unit
**Energy**: -81.22 eV/cell

The structure in CIF format:
```
data_Zr2GePb
_cell_length_a 3.7941
_cell_length_b 3.7941
_cell_length_c 22.4827
_cell_angle_alpha 90.00
_cell_angle_beta 90.00
_cell_angle_gamma 120.00
_space_group_name_H-M_alt 'R -3 m'
_space_group_IT_number 166
_space_group_name_Hall '-R 3 2"'
loop_
_atom_site_label
_atom_site_fract_x
_atom_site_fract_y
_atom_site_fract_z
_atom_site_occupancy
Zr1 0.0000 0.0000 0.2355 1
Ge1 0.0000 0.0000 0.5000 1
Pb1 0.0000 0.0000 0.0000 1
```